No. 1
Here is crystalline PRhI2 at its relaxed geometry from Alexandria. Energies are from GGA-PBEsol.

Values from the calculation:
DOS(E_F) = 1.0676 states/eV/atom
Magnetic moment = 0.0 μB per formula unit
V = 326 Å³ per cell
Total energy = -56.57 eV/cell

Lattice parameters (Å, degrees): 6.885 6.885 6.885 90.00 90.00 90.00
Space group Fm-3m (No. 225)
Inequivalent atoms, fractional coordinates:
P 0.000 0.000 0.000 (multiplicity 4)
Rh 0.000 0.000 0.500 (multiplicity 4)
I 0.250 0.250 0.250 (multiplicity 8)

No. 2
Here is crystalline PRhSeI2 at its relaxed geometry from Alexandria. Energies are from GGA-PBEsol.

Values from the calculation:
DOS(E_F) = 1.2205 states/eV/atom
Magnetic moment = 2.5 μB per formula unit
V = 149 Å³ per cell
Total energy = -15.64 eV/cell

Lattice parameters (Å, degrees): 5.745 5.745 4.501 90.00 90.00 90.00
Space group P4/mmm (No. 123)
Inequivalent atoms, fractional coordinates:
P 0.000 0.000 0.000 (multiplicity 1)
Rh 0.500 0.500 0.000 (multiplicity 1)
Se 0.500 0.500 0.500 (multiplicity 1)
I 0.000 0.500 0.500 (multiplicity 2)